VASP calculation (PBE-GGA) on SrNb after structural relaxation.

Output
- M_tot (μB per atom) = 1.500
- energy (eV/atom) = -3.95
- SG = Fm-3m (225)
- relative energy among the computed polymorphs (eV/f.u.) = 1.61

The structure in POSCAR format:
```
SrNb
1.0
0.000 3.261 3.261
3.261 0.000 3.261
3.261 3.261 0.000
Sr Nb
1 1
Direct
0.500 0.500 0.500
0.000 0.000 0.000
```